Entry 1:
! IrRu2W PBE optimized geometry; values from VASP
&SYSTEM
  ibrav = 0, nat = 4, ntyp = 3
/
ATOMIC_SPECIES
Ir 192.22 Ir.upf
W 183.84 W.upf
Ru 101.07 Ru.upf
CELL_PARAMETERS angstrom
9.0890 -0.0153 -0.0090
8.6767 2.7066 -0.0090
8.6767 1.3144 2.3660
ATOMIC_POSITIONS angstrom
Ir 19.8179 3.0022 1.7598
W 13.2149 2.0019 1.1735
Ru 26.4161 4.0018 2.3458
Ru 6.6569 1.0085 0.5911
! V: 58.7 Å³ per cell
! space-group type: R3m, No. 160
! energy relative to the elements: 6 kJ/mol of atoms
! E: -10.031 eV/atom
! distance to the lowest polymorph of the same formula: 0.239 eV/atom
! total moment: 0.00 μB/f.u.
! density: 16346 kg/m3

Entry 2:
! TbPrTeP PBE optimized geometry; values from VASP
&SYSTEM
  ibrav = 0, nat = 4, ntyp = 4
/
ATOMIC_SPECIES
Te 127.60 Te.upf
Pr 140.91 Pr.upf
P 30.97 P.upf
Tb 158.93 Tb.upf
CELL_PARAMETERS angstrom
4.1711 -0.0006 -0.0001
-2.0851 3.6131 0.0001
-2.0848 -1.2036 7.4081
ATOMIC_POSITIONS angstrom
Te 2.4796 0.9405 2.6278
Pr 0.3946 -0.2640 4.8549
P -1.6907 0.9404 6.5356
Tb -1.6914 3.3487 0.5731
! V: 111.6 Å³ per cell
! space-group type: R3m, No. 160
! E: -6.034 eV/atom
! total moment: 0.00 μB/f.u.
! density: 6819 kg/m3

Entry 3:
! Mg11Ag9Au4 PBE optimized geometry; values from VASP
&SYSTEM
  ibrav = 0, nat = 24, ntyp = 3
/
ATOMIC_SPECIES
Ag 107.87 Ag.upf
Mg 24.30 Mg.upf
Au 196.97 Au.upf
CELL_PARAMETERS angstrom
3.2668 0.0000 0.0000
0.0000 11.2307 -4.6072
0.0000 0.1770 12.1376
ATOMIC_POSITIONS angstrom
Ag 1.6334 4.3275 8.6164
Ag 1.6334 9.6238 0.5933
Ag 1.6334 2.2960 -0.4594
Ag 1.6334 1.7838 6.9372
Ag 1.6334 7.0801 -1.0859
Ag 1.6334 5.7038 3.7652
Ag 1.6334 10.9278 5.2386
Ag 1.6334 9.1116 7.9899
Ag 1.6334 0.4799 2.2919
Mg 0.0000 9.3601 -1.7736
Mg 0.0000 0.0000 0.0000
Mg 0.0000 7.2357 1.4446
Mg 0.0000 6.7982 8.6707
Mg 0.0000 0.7630 4.6867
Mg 0.0000 8.5043 5.6139
Mg 0.0000 2.0475 9.3040
Mg 0.0000 4.1719 6.0859
Mg 0.0000 4.6095 -1.1402
Mg 0.0000 2.9033 1.9165
Mg 0.0000 10.6447 2.8438
Au 1.6334 6.4258 6.4940
Au 1.6334 4.9819 1.0365
Au 1.6334 8.4968 3.3568
Au 1.6334 2.9109 4.1737
! V: 448.0 Å³ per cell
! space-group type: Cmmm, No. 65
! energy relative to the elements: -30 kJ/mol of atoms
! E: -2.660 eV/atom
! total moment: 0.00 μB/f.u.
! density: 7510 kg/m3